Ce5PuTl: optimized geometry, GGA-PBE.

It has space group C2/c (No. 15), with a = 11.269 Å, b = 6.491 Å, c = 11.603 Å, α = 90.00°, β = 113.58° and γ = 90.00°. The inequivalent atoms are Ce at (0.000, 0.020, 0.250), Ce at (0.096, 0.271, 0.022), Ce at (0.213, 0.181, 0.732), Pu at (0.250, 0.250, 0.500) and Tl at (0.000, 0.496, 0.250).

The calculation puts the size of the total moment at 1.276 μB/atom. For the raw total energy, the calculation gives -183.66 eV/cell. As for the formation energy from the elements: 0.065 eV per atom.